# 1
# PBE-GGA ErMo2N4, relaxed
# Uncorrected formation energy (eV/f.u.): -4.96
data_ErMo2N4
_symmetry_space_group_name_H-M 'P 1'
_symmetry_Int_Tables_number 1
_cell_length_a 5.243
_cell_length_b 5.243
_cell_length_c 10.157
_cell_angle_alpha 90.00
_cell_angle_beta 90.00
_cell_angle_gamma 145.38
loop_
_symmetry_equiv_pos_as_xyz
'x,y,z'
loop_
_atom_site_label
_atom_site_type_symbol
_atom_site_fract_x
_atom_site_fract_y
_atom_site_fract_z
Er1 Er 0.127 0.873 0.750
Er2 Er 0.873 0.127 0.250
Mo1 Mo 0.381 0.619 0.565
Mo2 Mo 0.381 0.619 0.935
Mo3 Mo 0.619 0.381 0.065
Mo4 Mo 0.619 0.381 0.435
N1 N 0.000 0.000 0.000
N2 N 0.000 0.000 0.500
N3 N 0.266 0.734 0.110
N4 N 0.266 0.734 0.390
N5 N 0.439 0.561 0.750
N6 N 0.561 0.439 0.250
N7 N 0.734 0.266 0.610
N8 N 0.734 0.266 0.890


# 2
# PBE-GGA HoGa2RuRh, relaxed
# ΔE_f (meV/atom): -617
data_HoGa2RuRh
_symmetry_space_group_name_H-M 'P 1'
_symmetry_Int_Tables_number 1
_cell_length_a 5.668
_cell_length_b 5.668
_cell_length_c 5.668
_cell_angle_alpha 134.79
_cell_angle_beta 134.79
_cell_angle_gamma 65.85
loop_
_symmetry_equiv_pos_as_xyz
'x,y,z'
loop_
_atom_site_label
_atom_site_type_symbol
_atom_site_fract_x
_atom_site_fract_y
_atom_site_fract_z
Ho1 Ho 0.000 0.000 0.000
Ga1 Ga 0.368 0.368 0.000
Ga2 Ga 0.632 0.632 0.000
Ru1 Ru 0.250 0.750 0.500
Rh1 Rh 0.750 0.250 0.500


# 3
# PBE-GGA GeTe6Pd3, relaxed
# Uncorrected formation energy (eV/f.u.): -2.10
data_GeTe6Pd3
_symmetry_space_group_name_H-M 'P 1'
_symmetry_Int_Tables_number 1
_cell_length_a 11.019
_cell_length_b 4.179
_cell_length_c 11.798
_cell_angle_alpha 90.00
_cell_angle_beta 110.52
_cell_angle_gamma 90.00
loop_
_symmetry_equiv_pos_as_xyz
'x,y,z'
loop_
_atom_site_label
_atom_site_type_symbol
_atom_site_fract_x
_atom_site_fract_y
_atom_site_fract_z
Ge1 Ge 0.033 0.250 0.173
Ge2 Ge 0.967 0.750 0.827
Te1 Te 0.092 0.750 0.436
Te2 Te 0.131 0.250 0.977
Te3 Te 0.237 0.750 0.758
Te4 Te 0.253 0.750 0.257
Te5 Te 0.409 0.250 0.565
Te6 Te 0.469 0.250 0.129
Te7 Te 0.531 0.750 0.871
Te8 Te 0.591 0.750 0.435
Te9 Te 0.747 0.250 0.743
Te10 Te 0.763 0.250 0.242
Te11 Te 0.869 0.750 0.023
Te12 Te 0.908 0.250 0.564
Pd1 Pd 0.177 0.250 0.596
Pd2 Pd 0.305 0.750 0.032
Pd3 Pd 0.427 0.250 0.342
Pd4 Pd 0.573 0.750 0.658
Pd5 Pd 0.695 0.250 0.968
Pd6 Pd 0.823 0.750 0.404


# 4
# PBE-GGA TiMo3W6, relaxed
# ΔE_f (meV/atom): 550
data_TiMo3W6
_symmetry_space_group_name_H-M 'P 1'
_symmetry_Int_Tables_number 1
_cell_length_a 5.361
_cell_length_b 7.532
_cell_length_c 10.086
_cell_angle_alpha 90.00
_cell_angle_beta 122.04
_cell_angle_gamma 90.00
loop_
_symmetry_equiv_pos_as_xyz
'x,y,z'
loop_
_atom_site_label
_atom_site_type_symbol
_atom_site_fract_x
_atom_site_fract_y
_atom_site_fract_z
Ti1 Ti 0.000 0.000 0.000
Ti2 Ti 0.000 0.500 0.500
Mo1 Mo 0.005 0.114 0.750
Mo2 Mo 0.005 0.386 0.250
Mo3 Mo 0.500 0.000 0.500
Mo4 Mo 0.500 0.500 0.000
Mo5 Mo 0.995 0.614 0.750
Mo6 Mo 0.995 0.886 0.250
W1 W 0.086 0.653 0.071
W2 W 0.086 0.847 0.571
W3 W 0.448 0.658 0.441
W4 W 0.448 0.842 0.941
W5 W 0.478 0.117 0.750
W6 W 0.478 0.383 0.250
W7 W 0.522 0.617 0.750
W8 W 0.522 0.883 0.250
W9 W 0.552 0.158 0.059
W10 W 0.552 0.342 0.559
W11 W 0.914 0.153 0.429
W12 W 0.914 0.347 0.929


# 5
# PBE-GGA KAuCl, relaxed
# Uncorrected formation energy (eV/f.u.): -1.50
data_KAuCl
_symmetry_space_group_name_H-M 'P 1'
_symmetry_Int_Tables_number 1
_cell_length_a 6.301
_cell_length_b 6.301
_cell_length_c 6.301
_cell_angle_alpha 147.17
_cell_angle_beta 134.44
_cell_angle_gamma 57.28
loop_
_symmetry_equiv_pos_as_xyz
'x,y,z'
loop_
_atom_site_label
_atom_site_type_symbol
_atom_site_fract_x
_atom_site_fract_y
_atom_site_fract_z
K1 K 0.000 0.000 0.000
Au1 Au 0.683 0.683 0.000
Cl1 Cl 0.448 0.448 0.000


# 6
# PBE-GGA SrSb2As, relaxed
# Uncorrected formation energy (eV/f.u.): -1.32
data_SrSb2As
_symmetry_space_group_name_H-M 'P 1'
_symmetry_Int_Tables_number 1
_cell_length_a 6.978
_cell_length_b 6.978
_cell_length_c 6.978
_cell_angle_alpha 101.34
_cell_angle_beta 101.34
_cell_angle_gamma 127.34
loop_
_symmetry_equiv_pos_as_xyz
'x,y,z'
loop_
_atom_site_label
_atom_site_type_symbol
_atom_site_fract_x
_atom_site_fract_y
_atom_site_fract_z
Sr1 Sr 0.000 0.000 0.000
Sr2 Sr 0.750 0.250 0.500
Sb1 Sb 0.166 0.125 0.541
Sb2 Sb 0.375 0.834 0.959
Sb3 Sb 0.584 0.625 0.459
Sb4 Sb 0.875 0.416 0.041
As1 As 0.250 0.750 0.500
As2 As 0.500 0.500 0.000


# 7
# PBE-GGA LuPuCuPb, relaxed
# ΔE_f (meV/atom): -93
data_LuPuCuPb
_symmetry_space_group_name_H-M 'P 1'
_symmetry_Int_Tables_number 1
_cell_length_a 5.185
_cell_length_b 5.185
_cell_length_c 5.185
_cell_angle_alpha 60.00
_cell_angle_beta 60.00
_cell_angle_gamma 60.00
loop_
_symmetry_equiv_pos_as_xyz
'x,y,z'
loop_
_atom_site_label
_atom_site_type_symbol
_atom_site_fract_x
_atom_site_fract_y
_atom_site_fract_z
Lu1 Lu 0.000 0.000 0.000
Pu1 Pu 0.500 0.500 0.500
Cu1 Cu 0.250 0.250 0.250
Pb1 Pb 0.750 0.750 0.750


# 8
# PBE-GGA ErMgAl, relaxed
# ΔE_f (meV/atom): -196
data_ErMgAl
_symmetry_space_group_name_H-M 'P 1'
_symmetry_Int_Tables_number 1
_cell_length_a 4.801
_cell_length_b 4.801
_cell_length_c 6.883
_cell_angle_alpha 90.00
_cell_angle_beta 90.00
_cell_angle_gamma 120.00
loop_
_symmetry_equiv_pos_as_xyz
'x,y,z'
loop_
_atom_site_label
_atom_site_type_symbol
_atom_site_fract_x
_atom_site_fract_y
_atom_site_fract_z
Er1 Er 0.000 0.000 0.239
Er2 Er 0.000 0.000 0.761
Mg1 Mg 0.333 0.667 0.500
Mg2 Mg 0.667 0.333 0.500
Al1 Al 0.333 0.667 0.000
Al2 Al 0.667 0.333 0.000


# 9
# PBE-GGA Cs2ZnBi2, relaxed
# ΔE_f (meV/atom): -30
data_Cs2ZnBi2
_symmetry_space_group_name_H-M 'P 1'
_symmetry_Int_Tables_number 1
_cell_length_a 7.006
_cell_length_b 7.006
_cell_length_c 7.006
_cell_angle_alpha 111.61
_cell_angle_beta 111.61
_cell_angle_gamma 105.28
loop_
_symmetry_equiv_pos_as_xyz
'x,y,z'
loop_
_atom_site_label
_atom_site_type_symbol
_atom_site_fract_x
_atom_site_fract_y
_atom_site_fract_z
Cs1 Cs 0.250 0.750 0.500
Cs2 Cs 0.750 0.250 0.500
Zn1 Zn 0.000 0.000 0.000
Bi1 Bi 0.318 0.318 0.000
Bi2 Bi 0.682 0.682 0.000


# 10
# PBE-GGA LaNdNiI, relaxed
# Uncorrected formation energy (eV/f.u.): -2.78
data_LaNdNiI
_symmetry_space_group_name_H-M 'P 1'
_symmetry_Int_Tables_number 1
_cell_length_a 8.499
_cell_length_b 8.499
_cell_length_c 8.499
_cell_angle_alpha 28.43
_cell_angle_beta 28.43
_cell_angle_gamma 28.43
loop_
_symmetry_equiv_pos_as_xyz
'x,y,z'
loop_
_atom_site_label
_atom_site_type_symbol
_atom_site_fract_x
_atom_site_fract_y
_atom_site_fract_z
La1 La 0.000 0.000 0.000
Nd1 Nd 0.788 0.788 0.788
Ni1 Ni 0.394 0.394 0.394
I1 I 0.560 0.560 0.560


# 11
# PBE-GGA BeVReOs, relaxed
# ΔE_f (meV/atom): -129
data_BeVReOs
_symmetry_space_group_name_H-M 'P 1'
_symmetry_Int_Tables_number 1
_cell_length_a 4.168
_cell_length_b 4.168
_cell_length_c 4.168
_cell_angle_alpha 60.00
_cell_angle_beta 60.00
_cell_angle_gamma 60.00
loop_
_symmetry_equiv_pos_as_xyz
'x,y,z'
loop_
_atom_site_label
_atom_site_type_symbol
_atom_site_fract_x
_atom_site_fract_y
_atom_site_fract_z
Be1 Be 0.000 0.000 0.000
V1 V 0.500 0.500 0.500
Re1 Re 0.750 0.750 0.750
Os1 Os 0.250 0.250 0.250


# 12
# PBE-GGA CsHoHgI6, relaxed
# Uncorrected formation energy (eV/f.u.): -9.39
data_CsHoHgI6
_symmetry_space_group_name_H-M 'P 1'
_symmetry_Int_Tables_number 1
_cell_length_a 7.747
_cell_length_b 8.286
_cell_length_c 8.383
_cell_angle_alpha 86.64
_cell_angle_beta 82.74
_cell_angle_gamma 62.19
loop_
_symmetry_equiv_pos_as_xyz
'x,y,z'
loop_
_atom_site_label
_atom_site_type_symbol
_atom_site_fract_x
_atom_site_fract_y
_atom_site_fract_z
Cs1 Cs 0.000 0.000 0.000
Ho1 Ho 0.337 0.332 0.500
Hg1 Hg 0.637 0.730 0.498
I1 I 0.030 0.410 0.774
I2 I 0.324 0.031 0.321
I3 I 0.410 0.602 0.697
I4 I 0.564 0.412 0.226
I5 I 0.652 0.030 0.676
I6 I 0.994 0.601 0.302


# 13
# PBE-GGA Zr2PdCO, relaxed
# Uncorrected formation energy (eV/f.u.): -0.96
data_Zr2PdCO
_symmetry_space_group_name_H-M 'P 1'
_symmetry_Int_Tables_number 1
_cell_length_a 4.453
_cell_length_b 4.453
_cell_length_c 3.681
_cell_angle_alpha 90.00
_cell_angle_beta 90.00
_cell_angle_gamma 90.00
loop_
_symmetry_equiv_pos_as_xyz
'x,y,z'
loop_
_atom_site_label
_atom_site_type_symbol
_atom_site_fract_x
_atom_site_fract_y
_atom_site_fract_z
Zr1 Zr 0.000 0.500 0.000
Zr2 Zr 0.500 0.000 0.000
Pd1 Pd 0.000 0.000 0.500
C1 C 0.500 0.500 0.500
O1 O 0.500 0.500 0.000


no.,total energy (eV per atom),total moment (μB per formula unit),DOS(E_F) (states/eV/cell)
1,-9.2125,0.00,6.69
2,-6.0690,0.00,1.00
3,-4.1142,0.00,9.28
4,-11.2608,0.00,16.53
5,-2.5726,0.00,1.35
6,-3.9749,0.00,5.06
7,-6.7572,6.18,8.94
8,-3.4964,0.00,5.57
9,-2.1782,0.00,5.94
10,-4.9521,0.00,3.05
11,-9.2592,0.00,3.38
12,-2.7138,0.00,0.00
13,-7.4872,0.00,2.26